(one)
Th2GeSe: relaxed, PBE.

abc: 4.158 4.158 7.835
angles: 74.61 74.61 60.00
Atoms (fractional coordinates):
Th  0.949  0.949  0.154
Th  0.768  0.768  0.697
Se  0.191  0.191  0.428
Ge  0.360  0.360  0.921

Summary:
N(E_F) = 1.67 states/eV/f.u.

***

(two)
Th2GeSe: relaxed, PBE.

abc: 3.602 3.602 7.612
angles: 90.00 90.00 90.00
Atoms (fractional coordinates):
Th  0.000  0.000  0.245
Th  0.000  0.000  0.755
Ge  0.500  0.500  0.000
Se  0.500  0.500  0.500

Summary:
N(E_F) = 3.92 states/eV/f.u.

***

Relative energy table, unit meV per atom: (one) 0; (two) 158

***

(one)
Ti2GeSe: relaxed, PBE.

abc: 3.596 3.596 6.653
angles: 74.32 74.32 60.00
Atoms (fractional coordinates):
Ti  0.077  0.077  0.769
Ti  0.256  0.256  0.233
Ge  0.668  0.668  0.996
Se  0.499  0.499  0.502

Summary:
N(E_F) = 1.48 states/eV/f.u.

***

(two)
Ti2GeSe: relaxed, PBE.

abc: 4.545 4.545 4.545
angles: 60.00 60.00 60.00
Atoms (fractional coordinates):
Ge  0.000  0.000  0.000
Se  0.500  0.500  0.500
Ti  0.750  0.750  0.750
Ti  0.250  0.250  0.250

Summary:
N(E_F) = 4.13 states/eV/f.u.

***

Relative energy table, unit meV per atom: (one) 0; (two) 303

***

(one)
Ti2GeSe: relaxed, PBE.

abc: 3.675 3.675 6.473
angles: 73.51 73.51 60.00
Atoms (fractional coordinates):
Ti  0.743  0.743  0.771
Ti  0.257  0.257  0.229
Se  0.500  0.500  0.500
Ge  0.000  0.000  0.000

Summary:
N(E_F) = 2.87 states/eV/f.u.

***

(two)
Ti2GeSe: relaxed, PBE.

abc: 5.766 5.766 7.090
angles: 66.00 66.00 90.00
Atoms (fractional coordinates):
Ti  0.375  0.379  0.750
Ti  0.621  0.125  0.250
Ti  0.129  0.625  0.250
Ti  0.875  0.871  0.750
Ge  0.250  0.750  0.500
Ge  0.500  0.500  0.000
Se  0.000  0.000  0.000
Se  0.750  0.250  0.500

Summary:
N(E_F) = 4.24 states/eV/f.u.

***

Relative energy table, unit meV per atom: (one) 0; (two) 546

***

(one)
Tl2Ge2Se5: relaxed, PBE.

abc: 5.036 6.936 8.559
angles: 102.35 90.00 111.29
Atoms (fractional coordinates):
Ge  0.170  0.340  0.878
Ge  0.830  0.660  0.122
Tl  0.596  0.192  0.366
Tl  0.404  0.808  0.634
Se  0.158  0.316  0.600
Se  0.842  0.684  0.400
Se  0.639  0.278  0.959
Se  0.361  0.722  0.041
Se  0.000  0.000  0.000

Summary:
N(E_F) = 4.05 states/eV/f.u.

***

(two)
Tl2Ge2Se5: relaxed, PBE.

abc: 11.341 11.341 9.240
angles: 79.09 79.09 89.71
Atoms (fractional coordinates):
Se  0.240  0.675  0.063
Se  0.675  0.240  0.563
Se  0.758  0.662  0.933
Se  0.243  0.008  0.045
Se  0.537  0.463  0.250
Se  0.757  0.992  0.955
Se  0.662  0.758  0.433
Se  0.893  0.466  0.236
Se  0.242  0.338  0.067
Se  0.338  0.242  0.567
Se  0.008  0.243  0.545
Se  0.325  0.760  0.437
Se  0.463  0.537  0.750
Se  0.107  0.534  0.764
Se  0.892  0.108  0.250
Se  0.992  0.757  0.455
Se  0.466  0.893  0.736
Se  0.760  0.325  0.937
Se  0.534  0.107  0.264
Se  0.108  0.892  0.750
Tl  0.799  0.547  0.603
Tl  0.206  0.071  0.407
Tl  0.794  0.929  0.593
Tl  0.453  0.201  0.897
Tl  0.929  0.794  0.093
Tl  0.547  0.799  0.103
Tl  0.071  0.206  0.907
Tl  0.201  0.453  0.397
Ge  0.733  0.475  0.093
Ge  0.866  0.269  0.392
Ge  0.731  0.134  0.108
Ge  0.134  0.731  0.608
Ge  0.267  0.525  0.907
Ge  0.525  0.267  0.407
Ge  0.475  0.733  0.593
Ge  0.269  0.866  0.892

***

Relative energy table, unit meV per atom: (one) 193; (two) 0

***

(one)
Tl2GeSe2: relaxed, PBE.

abc: 4.042 8.173 12.285
angles: 50.87 99.47 90.00
Atoms (fractional coordinates):
Tl  0.139  0.133  0.278
Tl  0.531  0.713  0.062
Tl  0.861  0.867  0.722
Tl  0.469  0.287  0.938
Ge  0.215  0.471  0.430
Ge  0.785  0.529  0.570
Se  0.296  0.723  0.593
Se  0.905  0.176  0.810
Se  0.095  0.824  0.190
Se  0.704  0.277  0.407

Summary:
N(E_F) = 0.02 states/eV/f.u.

***

(two)
Tl2GeSe2: relaxed, PBE.

abc: 6.786 8.283 8.283
angles: 49.72 65.82 65.82
Atoms (fractional coordinates):
Se  0.613  0.173  0.601
Se  0.387  0.827  0.399
Se  0.113  0.601  0.173
Se  0.887  0.399  0.827
Tl  0.652  0.685  0.011
Tl  0.848  0.989  0.315
Tl  0.152  0.011  0.685
Tl  0.348  0.315  0.989
Ge  0.750  0.500  0.500
Ge  0.250  0.500  0.500

Summary:
N(E_F) = 0.32 states/eV/f.u.

***

Relative energy table, unit meV per atom: (one) 0; (two) 61

***

(one)
Tl3Ge2Se4: relaxed, PBE.

abc: 8.472 8.362 8.362
angles: 81.30 82.27 82.27
Atoms (fractional coordinates):
Tl  0.250  0.633  0.367
Tl  0.872  0.015  0.271
Tl  0.628  0.729  0.985
Tl  0.128  0.985  0.729
Tl  0.750  0.367  0.633
Tl  0.372  0.271  0.015
Ge  0.416  0.193  0.433
Ge  0.584  0.807  0.567
Ge  0.916  0.433  0.193
Ge  0.084  0.567  0.807
Se  0.608  0.392  0.280
Se  0.490  0.946  0.286
Se  0.510  0.054  0.714
Se  0.392  0.608  0.720
Se  0.892  0.720  0.608
Se  0.990  0.286  0.946
Se  0.010  0.714  0.054
Se  0.108  0.280  0.392

Summary:
N(E_F) = 2.20 states/eV/f.u.

***

(two)
Tl3Ge2Se4: relaxed, PBE.

abc: 8.168 8.897 9.223
angles: 118.84 91.24 90.00
Atoms (fractional coordinates):
Tl  0.113  0.756  0.743
Tl  0.887  0.244  0.257
Tl  0.387  0.014  0.257
Tl  0.613  0.986  0.743
Tl  0.250  0.495  0.000
Tl  0.750  0.505  0.000
Se  0.999  0.832  0.124
Se  0.311  0.770  0.439
Se  0.189  0.331  0.561
Se  0.499  0.291  0.124
Se  0.689  0.230  0.561
Se  0.001  0.168  0.876
Se  0.501  0.709  0.876
Se  0.811  0.669  0.439
Ge  0.517  0.541  0.385
Ge  0.483  0.459  0.615
Ge  0.017  0.843  0.385
Ge  0.983  0.157  0.615

Summary:
N(E_F) = 2.09 states/eV/f.u.

***

Relative energy table, unit meV per atom: (one) 32; (two) 0

***

(one)
Tl4GeSe4: relaxed, PBE.

abc: 7.166 7.166 25.235
angles: 81.32 81.32 63.18
Atoms (fractional coordinates):
Tl  0.684  0.097  0.825
Tl  0.723  0.649  0.000
Tl  0.657  0.946  0.663
Tl  0.821  0.179  0.250
Tl  0.277  0.351  0.000
Tl  0.179  0.821  0.750
Tl  0.316  0.903  0.175
Tl  0.351  0.277  0.500
Tl  0.000  0.000  0.000
Tl  0.343  0.054  0.337
Tl  0.097  0.684  0.325
Tl  0.054  0.343  0.837
Tl  0.946  0.657  0.163
Tl  0.000  0.000  0.500
Tl  0.649  0.723  0.500
Tl  0.903  0.316  0.675
Se  0.303  0.391  0.713
Se  0.981  0.412  0.418
Se  0.019  0.588  0.582
Se  0.634  0.333  0.576
Se  0.697  0.609  0.287
Se  0.094  0.710  0.883
Se  0.609  0.697  0.787
Se  0.667  0.366  0.924
Se  0.333  0.634  0.076
Se  0.412  0.981  0.918
Se  0.366  0.667  0.424
Se  0.710  0.094  0.383
Se  0.906  0.290  0.117
Se  0.391  0.303  0.213
Se  0.588  0.019  0.082
Se  0.290  0.906  0.617
Ge  0.690  0.440  0.376
Ge  0.440  0.690  0.876
Ge  0.310  0.560  0.624
Ge  0.560  0.310  0.124

***

(two)
Tl4GeSe4: relaxed, PBE.

abc: 7.767 7.767 7.882
angles: 119.52 119.52 90.00
Atoms (fractional coordinates):
Tl  0.665  0.665  0.331
Tl  0.335  0.335  0.669
Tl  0.500  0.000  0.000
Tl  0.000  0.500  0.000
Se  0.955  0.304  0.259
Se  0.045  0.045  0.741
Se  0.304  0.955  0.259
Se  0.696  0.696  0.741
Ge  0.000  0.000  0.000

***

Relative energy table, unit meV per atom: (one) 0; (two) 53

***

(one)
Tl5GeSe4: relaxed, PBE.

abc: 8.447 9.843 8.425
angles: 90.00 90.00 90.00
Atoms (fractional coordinates):
Tl  0.737  0.191  0.218
Tl  0.263  0.309  0.282
Tl  0.263  0.691  0.282
Tl  0.887  0.500  0.000
Tl  0.263  0.691  0.718
Tl  0.263  0.309  0.718
Tl  0.113  0.000  0.500
Tl  0.737  0.191  0.782
Tl  0.737  0.809  0.782
Tl  0.737  0.809  0.218
Se  0.057  0.795  0.000
Se  0.613  0.500  0.745
Se  0.387  0.000  0.755
Se  0.943  0.705  0.500
Se  0.387  0.000  0.245
Se  0.613  0.500  0.255
Se  0.943  0.295  0.500
Se  0.057  0.205  0.000
Ge  0.773  0.500  0.500
Ge  0.227  0.000  0.000

Summary:
N(E_F) = 2.72 states/eV/f.u.

***

(two)
Tl5GeSe4: relaxed, PBE.

abc: 4.243 8.118 9.582
angles: 106.82 102.79 90.00
Atoms (fractional coordinates):
Tl  0.186  0.324  0.372
Tl  0.838  0.209  0.677
Tl  0.162  0.791  0.323
Tl  0.814  0.676  0.628
Tl  0.500  0.500  0.000
Ge  0.500  0.000  0.000
Se  0.348  0.956  0.695
Se  0.018  0.234  0.036
Se  0.652  0.044  0.305
Se  0.982  0.766  0.964

Summary:
N(E_F) = 3.76 states/eV/f.u.

***

Relative energy table, unit meV per atom: (one) 0; (two) 26